No. 1
Crystalline La4CNF2 at its relaxed geometry. Source: Alexandria, functional PBE.

Computed properties:
E_form (uncorrected): -14.3 eV/f.u.
Space-group type: P2/m (10)
Crystal system: monoclinic

a b c (Å): 3.719 6.443 6.758
angles (deg): 108.56 90.00 90.00
Atoms (fractional coordinates):
La 0.500 0.237 0.219
La 0.500 0.763 0.781
La 0.000 0.255 0.778
La 0.000 0.745 0.222
C 0.500 0.500 0.000
N 0.000 0.000 0.000
F 0.500 0.000 0.500
F 0.000 0.500 0.500


No. 2
Crystalline Ac2AgP3Rh4 at its relaxed geometry. Source: Alexandria, functional PBE.

Computed properties:
Space-group type: P-4m2 (115)
E_tot: -65.00 eV per cell
Crystal system: tetragonal

a b c (Å): 4.228 4.228 10.437
angles (deg): 90.00 90.00 90.00
Atoms (fractional coordinates):
Ac 0.500 0.000 0.255
Ac 0.000 0.500 0.745
Ag 0.500 0.500 0.500
P 0.000 0.000 0.500
P 0.500 0.000 0.876
P 0.000 0.500 0.124
Rh 0.500 0.500 0.000
Rh 0.000 0.000 0.000
Rh 0.500 0.000 0.654
Rh 0.000 0.500 0.346


No. 3
Crystalline CsMoAs2Br at its relaxed geometry. Source: Alexandria, functional PBE.

Computed properties:
E_form (uncorrected): -1.2 eV/f.u.
Space-group type: P4/mmm (123)
Crystal system: tetragonal

a b c (Å): 4.907 4.907 5.944
angles (deg): 90.00 90.00 90.00
Atoms (fractional coordinates):
Cs 0.500 0.500 0.500
Mo 0.000 0.000 0.000
As 0.000 0.500 0.000
As 0.500 0.000 0.000
Br 0.000 0.000 0.500


No. 4
Crystalline Ca3BiSe at its relaxed geometry. Source: Alexandria, functional PBE.

Computed properties:
E_form (uncorrected): -2.3 eV/f.u.
Space-group type: Pm-3m (221)
Crystal system: cubic

a b c (Å): 5.916 5.916 5.916
angles (deg): 90.00 90.00 90.00
Atoms (fractional coordinates):
Ca 0.000 0.500 0.000
Ca 0.000 0.000 0.500
Ca 0.500 0.000 0.000
Bi 0.000 0.000 0.000
Se 0.500 0.500 0.500


No. 5
Crystalline MgScCu5 at its relaxed geometry. Source: Alexandria, functional PBE.

Computed properties:
Space-group type: Pnma (62)
E_tot: -117.82 eV per cell
Crystal system: orthorhombic

a b c (Å): 4.921 8.057 10.373
angles (deg): 90.00 90.00 90.00
Atoms (fractional coordinates):
Mg 0.250 0.865 0.861
Mg 0.750 0.635 0.361
Mg 0.250 0.365 0.639
Mg 0.750 0.135 0.139
Sc 0.250 0.251 0.940
Sc 0.750 0.249 0.440
Sc 0.250 0.751 0.560
Sc 0.750 0.749 0.060
Cu 0.250 0.589 0.017
Cu 0.750 0.911 0.517
Cu 0.250 0.089 0.483
Cu 0.750 0.411 0.983
Cu 0.750 0.311 0.759
Cu 0.250 0.189 0.259
Cu 0.750 0.811 0.741
Cu 0.250 0.689 0.241
Cu 0.250 0.951 0.098
Cu 0.750 0.549 0.598
Cu 0.250 0.451 0.402
Cu 0.750 0.049 0.902
Cu 0.995 0.432 0.188
Cu 0.005 0.068 0.688
Cu 0.505 0.932 0.312
Cu 0.495 0.568 0.812
Cu 0.005 0.568 0.812
Cu 0.995 0.932 0.312
Cu 0.495 0.068 0.688
Cu 0.505 0.432 0.188


No. 6
Crystalline LiTiAlRe at its relaxed geometry. Source: Alexandria, functional PBE.

Computed properties:
Space-group type: F-43m (216)
E_tot: -26.54 eV per cell
Crystal system: cubic

a b c (Å): 4.370 4.370 4.370
angles (deg): 60.00 60.00 60.00
Atoms (fractional coordinates):
Re 0.000 0.000 0.000
Li 0.500 0.500 0.500
Al 0.750 0.750 0.750
Ti 0.250 0.250 0.250


How do the records compare in N(E_F)? In the order shown, they have 2.6; 4.8; 3.9; 3.5; 4.2; 4.3 states/eV/f.u..